1.
RbBa2CaAs: relaxed, GGA-PBE.

## Properties
symmetry	No. 123
energy	-2.71	eV/atom

Cell: 6.645 6.645 5.931 Å, 90.00 90.00 90.00°
Positions (direct):
As: 0.000 0.000 0.000
Ca: 0.000 0.000 0.500
Ba: 0.000 0.500 0.000
Ba: 0.500 0.000 0.000
Rb: 0.500 0.500 0.500

***

2.
BaCaSb2As: relaxed, GGA-PBE.

## Properties
symmetry	No. 123
ΔE_f (raw)	-0.227	eV per atom

Cell: 5.765 5.445 5.765 Å, 90.00 90.00 90.00°
Positions (direct):
Sb: 0.000 0.000 0.500
Sb: 0.500 0.000 0.000
As: 0.000 0.500 0.000
Ca: 0.000 0.000 0.000
Ba: 0.500 0.500 0.500

***

3.
BaCaAs2Se: relaxed, GGA-PBE.

## Properties
symmetry	No. 123
ΔE_f (raw)	0.178	eV per atom

Cell: 5.685 5.685 5.919 Å, 90.00 90.00 90.00°
Positions (direct):
As: 0.000 0.500 0.000
As: 0.500 0.000 0.000
Ca: 0.500 0.500 0.500
Ba: 0.000 0.000 0.000
Se: 0.000 0.000 0.500